1.
A relaxed CsLiRuSe2 crystal, computed with PBEsol.

a = 4.8571 Å, b = 4.8571 Å, c = 5.0777 Å
α = 90.00°, β = 90.00°, γ = 90.00°
Sites, in units of the cell vectors:
Cs (0.5000, 0.5000, 0.5000)
Ru (0.0000, 0.0000, 0.0000)
Se (0.0000, 0.5000, 0.0000)
Se (0.5000, 0.0000, 0.0000)
Li (0.0000, 0.0000, 0.5000)

Results
formation energy (no corrections)	-0.280	eV/atom
E	-4.437	eV per atom
crystal system	tetragonal
density	5.53	g/cm³
calculated volume	119.8	Å³/cell


2.
A relaxed CsLiS3 crystal, computed with PBEsol.

a = 4.7638 Å, b = 4.7638 Å, c = 4.7638 Å
α = 90.00°, β = 90.00°, γ = 90.00°
Sites, in units of the cell vectors:
Cs (0.5000, 0.5000, 0.5000)
S (0.0000, 0.5000, 0.0000)
S (0.0000, 0.0000, 0.5000)
S (0.5000, 0.0000, 0.0000)
Li (0.0000, 0.0000, 0.0000)

Results
formation energy (no corrections)	-0.082	eV/atom
E	-3.294	eV per atom
crystal system	cubic
density	3.63	g/cm³
calculated volume	108.1	Å³/cell


3.
A relaxed CsLiS2 crystal, computed with PBEsol.

a = 5.0520 Å, b = 5.0520 Å, c = 8.8380 Å
α = 106.61°, β = 106.61°, γ = 90.00°
Sites, in units of the cell vectors:
Cs (0.0000, 0.0000, 0.0000)
Cs (0.2500, 0.7500, 0.5000)
S (0.6250, 0.3750, 0.7500)
S (0.1250, 0.3750, 0.7500)
S (0.6250, 0.8750, 0.2500)
S (0.6250, 0.3750, 0.2500)
Li (0.5000, 0.5000, 0.0000)
Li (0.7500, 0.2500, 0.5000)

Results
formation energy (no corrections)	-0.877	eV/atom
E	-3.796	eV per atom
crystal system	tetragonal
density	3.28	g/cm³
calculated volume	206.3	Å³/cell


4.
A relaxed CsLi3Sb crystal, computed with PBEsol.

a = 5.2188 Å, b = 5.2188 Å, c = 5.2188 Å
α = 90.00°, β = 90.00°, γ = 90.00°
Sites, in units of the cell vectors:
Cs (0.0000, 0.0000, 0.0000)
Sb (0.5000, 0.5000, 0.5000)
Li (0.0000, 0.5000, 0.0000)
Li (0.0000, 0.0000, 0.5000)
Li (0.5000, 0.0000, 0.0000)

Results
formation energy (no corrections)	0.692	eV/atom
offset from the most stable computed form	1007	meV/atom
E	-1.588	eV per atom
crystal system	cubic
density	3.22	g/cm³
calculated volume	142.1	Å³/cell


5.
A relaxed CsLi3Sb crystal, computed with PBEsol.

a = 5.3749 Å, b = 5.3749 Å, c = 5.3749 Å
α = 90.00°, β = 90.00°, γ = 90.00°
Sites, in units of the cell vectors:
Cs (0.5000, 0.5000, 0.5000)
Sb (0.0000, 0.0000, 0.0000)
Li (0.0000, 0.5000, 0.0000)
Li (0.0000, 0.0000, 0.5000)
Li (0.5000, 0.0000, 0.0000)

Results
formation energy (no corrections)	-0.315	eV/atom
offset from the most stable computed form	0	meV/atom
E	-2.595	eV per atom
crystal system	cubic
density	2.95	g/cm³
calculated volume	155.3	Å³/cell


6.
A relaxed CsLiSb2Te crystal, computed with PBEsol.

a = 6.1384 Å, b = 6.1384 Å, c = 6.3198 Å
α = 90.00°, β = 90.00°, γ = 90.00°
Sites, in units of the cell vectors:
Cs (0.0000, 0.0000, 0.0000)
Sb (0.0000, 0.5000, 0.0000)
Sb (0.5000, 0.0000, 0.0000)
Te (0.0000, 0.0000, 0.5000)
Li (0.5000, 0.5000, 0.5000)

Results
formation energy (no corrections)	1.051	eV/atom
E	-2.059	eV per atom
crystal system	tetragonal
density	3.56	g/cm³
calculated volume	238.1	Å³/cell